Material: Li2LaSc
Method: DFT, PBE
State: relaxed

The formation energy is 256 meV/atom. The space group is P4/mmm. The calculation puts the total energy at -14.06 eV for the cell shown. The energy above the most stable polymorph in this dataset is 157 meV per atom.

abc: 4.5984 4.5984 4.9775
angles: 90.00 90.00 90.00
With the nearest neighbours (Å) after each atom.
Positions (direct):
Li 0.0000 0.5000 0.0000  4 Li 3.25, 4 La 3.39, 4 Sc 3.39
Li 0.5000 0.0000 0.0000  4 Li 3.25, 4 La 3.39, 4 Sc 3.39
La 0.0000 0.0000 0.5000  4 Sc 3.25, 8 Li 3.39
Sc 0.5000 0.5000 0.5000  4 La 3.25, 8 Li 3.39

***

Material: YHgS2Cl
Method: DFT, PBE
State: relaxed

As for the raw formation energy: -0.289 eV/atom. The space group is P4/mmm. The calculation puts the total energy at -18.31 eV for the cell shown. The energy above the most stable polymorph in this dataset is 483 meV per atom.

abc: 5.0259 5.0259 5.0502
angles: 90.00 90.00 90.00
With the nearest neighbours (Å) after each atom.
Positions (direct):
Y 0.0000 0.0000 0.0000  4 Cl 3.55, 8 S 3.56
Hg 0.5000 0.5000 0.5000  4 S 2.51, 2 Cl 2.53
S 0.0000 0.5000 0.5000  2 Hg 2.51
S 0.5000 0.0000 0.5000  2 Hg 2.51
Cl 0.5000 0.5000 0.0000  2 Hg 2.53

***

Material: K2CaF4
Method: DFT, PBE
State: relaxed

As for the raw formation energy: -3.217 eV/atom. The space group is C2/m. The calculation puts the total energy at -68.40 eV for the cell shown.

abc: 11.7597 3.4912 7.0421
angles: 90.00 119.60 90.00
With the nearest neighbours (Å) after each atom.
Positions (direct):
K 0.1518 0.0000 0.1784  7 F 2.68-2.85
K 0.3482 0.5000 0.8216  7 F 2.68-2.85
K 0.6518 0.5000 0.1784  7 F 2.68-2.85
K 0.8482 0.0000 0.8216  7 F 2.68-2.85
Ca 0.0000 0.5000 0.5000  6 F 2.22-2.32
Ca 0.5000 0.0000 0.5000  6 F 2.22-2.32
F 0.0466 0.5000 0.8462  1 Ca 2.22
F 0.1460 0.0000 0.5703  2 Ca 2.32
F 0.3540 0.5000 0.4297  2 Ca 2.32
F 0.4534 0.0000 0.1538  1 Ca 2.22
F 0.5466 0.0000 0.8462  1 Ca 2.22
F 0.6460 0.5000 0.5703  2 Ca 2.32
F 0.8540 0.0000 0.4297  2 Ca 2.32
F 0.9534 0.5000 0.1538  1 Ca 2.22

***

Material: Pm8Pr3Y3
Method: DFT, PBE
State: relaxed

The formation energy is 97 meV/atom. The space group is Immm. The calculation puts the total energy at -70.38 eV for the cell shown.

abc: 9.8704 9.8704 9.8704
angles: 145.96 112.23 78.06
With the nearest neighbours (Å) after each atom.
Positions (direct):
Pm 0.0583 0.3972 0.6612  4 Pm 3.15-3.42
Pm 0.0617 0.2216 0.8401  6 Pm 3.34-3.61, 2 Pr 3.69, 1 Y 3.73
Pm 0.2640 0.6028 0.6612  4 Pm 3.15-3.42
Pm 0.3814 0.2216 0.1599  6 Pm 3.34-3.61, 2 Pr 3.69, 1 Y 3.73
Pm 0.6186 0.7784 0.8401  6 Pm 3.34-3.61, 2 Pr 3.69, 1 Y 3.73
Pm 0.7360 0.3972 0.3388  4 Pm 3.15-3.42
Pm 0.9383 0.7784 0.1599  6 Pm 3.34-3.61, 2 Pr 3.69, 1 Y 3.73
Pm 0.9417 0.6028 0.3388  4 Pm 3.15-3.42
Pr 0.3181 0.8181 0.5000  2 Y 3.55, 8 Pm 3.69-3.79
Pr 0.5000 0.5000 0.0000  4 Y 3.63, 4 Pr 4.02, 4 Pm 4.05
Pr 0.6819 0.1819 0.5000  2 Y 3.55, 8 Pm 3.69-3.79
Y 0.0000 0.0000 0.0000  2 Y 3.30
Y 0.3000 0.0000 0.3000  1 Y 3.30, 4 Pr 3.55-3.63, 4 Pm 3.63
Y 0.7000 0.0000 0.7000  1 Y 3.30, 4 Pr 3.55-3.63, 4 Pm 3.63

***

no.,N(E_F) (states/eV/cell)
1,4.76
2,1.48
3,0.00
4,21.02